{"formula": "ScNbAlCl2", "functional": "PBE", "state": "relaxed", "lattice": [[-4.2965, 1.6328, -1.0059], [-1.4590, -5.0135, -1.9059], [-1.4672, -1.2092, 4.3039]], "species": ["Sc", "Al", "Cl", "Cl", "Nb"], "frac_coords": [[0.5000, 0.5000, 0.5000], [0.0000, 0.5000, 0.0000], [0.5000, 0.0000, 0.0000], [0.0000, 0.0000, 0.5000], [0.0000, 0.0000, 0.0000]], "e_form_raw_ev_per_atom": 0.03, "mass_density_g_cm3": 3.2, "e_tot_ev_per_atom": -4.7357, "space_group": "P4/mmm"}